[1]
Computed, not measured: a geometry-optimized As4PtAu structure at the PBE level of DFT.

a = 7.748 Å, b = 7.748 Å, c = 7.748 Å
α = 90.00°, β = 90.00°, γ = 90.00°
Space group F-43m (No. 216)
Asymmetric unit:
As: 0.122 0.122 0.122 (multiplicity 16)
Pt: 0.000 0.000 0.500 (multiplicity 4)
Au: 0.250 0.250 0.750 (multiplicity 4)

VASP energy = -4.02 eV per atom

---

[2]
Computed, not measured: a geometry-optimized Ni3AsPt structure at the PBE level of DFT.

a = 4.578 Å, b = 4.578 Å, c = 4.578 Å
α = 90.00°, β = 90.00°, γ = 90.00°
Space group Pm-3m (No. 221)
Asymmetric unit:
Ni: 0.000 0.000 0.500 (multiplicity 3)
As: 0.500 0.500 0.500 (multiplicity 1)
Pt: 0.000 0.000 0.000 (multiplicity 1)

energy above the most stable polymorph in this dataset = 0.581 eV per atom
VASP energy = -4.48 eV per atom

---

[3]
Computed, not measured: a geometry-optimized Lu2InAg structure at the PBE level of DFT.

a = 3.3837 Å, b = 3.3837 Å, c = 33.0792 Å
α = 90.00°, β = 90.00°, γ = 120.00°
Space group R-3m (No. 166, hexagonal axes)
Asymmetric unit:
Lu: 0.0000 0.0000 0.0953 (multiplicity 6)
In: 0.0000 0.0000 0.0000 (multiplicity 3)
Ag: 0.0000 0.0000 0.5000 (multiplicity 3)

energy above the most stable polymorph in this dataset = 0.492 eV per atom
VASP energy = -3.55 eV per atom

---

[4]
Computed, not measured: a geometry-optimized K2Er2PaS6 structure at the PBE level of DFT.

a = 6.935 Å, b = 12.002 Å, c = 7.890 Å
α = 90.00°, β = 107.23°, γ = 90.00°
Space group C2/m (No. 12)
Asymmetric unit:
K: 0.000 0.168 0.000 (multiplicity 4)
Er: 0.000 0.334 0.500 (multiplicity 4)
Pa: 0.000 0.000 0.500 (multiplicity 2)
S: 0.231 0.167 0.695 (multiplicity 8)
S: 0.235 0.500 0.695 (multiplicity 4)

formation energy without anion corrections = -1.8194 eV per atom
VASP energy = -5.96 eV per atom

---

[5]
Computed, not measured: a geometry-optimized CeGdZn4 structure at the PBE level of DFT.

a = 7.778 Å, b = 7.778 Å, c = 7.778 Å
α = 90.00°, β = 90.00°, γ = 90.00°
Space group F-43m (No. 216)
Asymmetric unit:
Ce: 0.000 0.000 0.000 (multiplicity 4)
Gd: 0.250 0.250 0.250 (multiplicity 4)
Zn: 0.125 0.125 0.625 (multiplicity 16)

VASP energy = -4.49 eV per atom

---

[6]
Computed, not measured: a geometry-optimized LaGaTc2 structure at the PBE level of DFT.

a = 4.428 Å, b = 4.428 Å, c = 18.208 Å
α = 90.00°, β = 90.00°, γ = 90.00°
Space group I-42d (No. 122)
Asymmetric unit:
La: 0.000 0.000 0.000 (multiplicity 4)
Ga: 0.000 0.000 0.500 (multiplicity 4)
Tc: 0.119 0.250 0.625 (multiplicity 8)

VASP energy = -6.92 eV per atom

---

[7]
Computed, not measured: a geometry-optimized MgSnSe3 structure at the PBE level of DFT.

a = 6.8060 Å, b = 6.8060 Å, c = 7.9736 Å
α = 90.00°, β = 90.00°, γ = 120.00°
Space group P-31m (No. 162)
Asymmetric unit:
Mg: 0.3333 0.6667 0.0000 (multiplicity 2)
Sn: 0.0000 0.0000 0.2043 (multiplicity 2)
Se: 0.0000 0.3669 0.7818 (multiplicity 6)

energy above the most stable polymorph in this dataset = 0.000 eV per atom
formation energy without anion corrections = -0.5129 eV per atom
VASP energy = -3.72 eV per atom